DFT (PBE) results for a geometry-optimized Zr6MnRu5 structure.

Structure (POSCAR):
```
Zr6MnRu5
1.0
0.6576 4.0368 2.1345
-2.9620 3.0889 -4.9301
-4.9408 -4.2671 4.6172
Zr Ru Mn
6 5 1
direct
0.4999 0.2459 0.0000
0.1648 0.9168 0.3294
0.1647 0.4126 0.3294
0.5001 0.7541 0.0000
0.8353 0.5874 0.6706
0.8352 0.0832 0.6706
0.6668 0.6668 0.3337
0.6669 0.1670 0.3339
0.0000 0.5000 0.0000
0.3331 0.8330 0.6661
0.3332 0.3332 0.6663
0.0000 0.0000 0.0000
```

Energy: -113.5 eV for the cell shown
Crystal system: orthorhombic
Size of the total moment: 0.0 μB/f.u.
Space-group type: Immm (71)
DOS(E_F): 0.3464 states/eV/atom